# 1
Below is a relaxed structure of V2NiRu, with properties calculated at the PBE level.

It has space group P4/mmm (No. 123), with a = 3.0924 Å, b = 3.0924 Å, c = 5.4007 Å, α = 90.00°, β = 90.00° and γ = 90.00°. The distinct sites, in fractional coordinates, are V at (0.0000, 0.0000, 0.2351), Ni at (0.5000, 0.5000, 0.0000) and Ru at (0.5000, 0.5000, 0.5000).

The calculation puts the formation energy at -161 meV/atom. Its volume is 52 Å³/cell.

***

# 2
Below is a relaxed structure of La6Pm12Mg, with properties calculated at the PBE level.

It has space group R-3 (No. 148, hexagonal axes), with a = 13.4170 Å, b = 13.4170 Å, c = 13.1825 Å, α = 90.00°, β = 90.00° and γ = 120.00°. The distinct sites, in fractional coordinates, are La at (0.0907, 0.9084, 0.2735), Pm at (0.9997, 0.2609, 0.4999), Pm at (0.0558, 0.5278, 0.6137) and Mg at (0.0000, 0.0000, 0.5000).

The calculation puts the formation energy at 115 meV/atom. Its volume is 2055 Å³/cell.

***

# 3
Below is a relaxed structure of Pm6Sm3DyTh2, with properties calculated at the PBE level.

It has space group C2/m (No. 12), with a = 6.2751 Å, b = 10.8495 Å, c = 12.0555 Å, α = 90.00°, β = 100.00° and γ = 90.00°. The distinct sites, in fractional coordinates, are Pm at (0.2452, 0.0000, 0.2460), Pm at (0.2497, 0.1684, 0.7544), Sm at (0.0000, 0.0000, 0.5000), Sm at (0.0000, 0.3333, 0.5000), Dy at (0.0000, 0.5000, 0.0000) and Th at (0.0000, 0.1665, 0.0000).

The calculation puts the formation energy at 32 meV/atom. Its volume is 808 Å³/cell.

***

# 4
Below is a relaxed structure of SrPIr4, with properties calculated at the PBE level.

It has space group Pmma (No. 51), with a = 7.3368 Å, b = 3.8938 Å, c = 7.7947 Å, α = 90.00°, β = 90.00° and γ = 90.00°. The distinct sites, in fractional coordinates, are Sr at (0.2500, 0.0000, 0.1044), P at (0.2500, 0.0000, 0.7165), Ir at (0.0000, 0.0000, 0.5000), Ir at (0.0647, 0.5000, 0.7383) and Ir at (0.2500, 0.5000, 0.4222).

For the excess energy over the best structure of this formula in the dataset, the calculation gives 0.0 meV/atom. The calculation puts the formation energy at -71 meV/atom. Its volume is 223 Å³/cell.

***

# 5
Below is a relaxed structure of ZnBr, with properties calculated at the PBE level.

It has space group P4/nmm (No. 129, origin choice 2), with a = 3.4403 Å, b = 3.4403 Å, c = 8.4673 Å, α = 90.00°, β = 90.00° and γ = 90.00°. The distinct sites, in fractional coordinates, are Zn at (0.2500, 0.2500, 0.1274) and Br at (0.2500, 0.2500, 0.7064).

Its volume is 100 Å³/cell. The value obtained for the uncorrected formation energy is -0.07 eV/atom.

***

# 6
Below is a relaxed structure of BaGa3Ag, with properties calculated at the PBE level.

It has space group Pm-3m (No. 221), with a = 6.0422 Å, b = 6.0422 Å, c = 6.0422 Å, α = 90.00°, β = 90.00° and γ = 90.00°. The distinct sites, in fractional coordinates, are Ba at (0.0000, 0.0000, 0.0000), Ga at (0.0000, 0.0000, 0.5000) and Ag at (0.5000, 0.5000, 0.5000).

The calculation puts the formation energy at 1090 meV/atom. Its volume is 221 Å³/cell.

***

> Which value of volume does entry 6 give?

221 Å³/cell